This record from Alexandria describes a relaxed structure of CoPW. The functional is PBE.

abc: 3.622 3.622 3.383
angles: 90.00 90.00 120.00
Fractional positions:
Co1 0.000 0.000 0.000
P1 0.667 0.333 0.000
W1 0.333 0.667 0.500

Output
formation energy from the elements	-214	meV per atom
symmetry	P-6m2 (187)

This record from Alexandria describes a relaxed structure of InHRh3. The functional is PBE.

abc: 3.001 3.001 17.303
angles: 90.00 90.00 120.00
Fractional positions:
In1 0.000 0.000 0.000
In2 0.000 0.000 0.500
H1 0.333 0.667 0.250
H2 0.667 0.333 0.750
Rh1 0.000 0.000 0.250
Rh2 0.000 0.000 0.750
Rh3 0.333 0.667 0.124
Rh4 0.333 0.667 0.376
Rh5 0.667 0.333 0.624
Rh6 0.667 0.333 0.876

Output
energy above the most stable polymorph in this dataset	277	meV per atom
symmetry	P6_3/mmc (194)

This record from Alexandria describes a relaxed structure of MgSiBr2. The functional is PBE.

abc: 7.732 7.732 7.732
angles: 153.84 142.92 45.94
Fractional positions:
Mg1 0.000 0.000 0.000
Si1 0.162 0.662 0.500
Br1 0.581 0.581 0.000
Br2 0.871 0.371 0.500

Output
energy above the most stable polymorph in this dataset	72	meV per atom
E_form (uncorrected)	-27.3	kJ per mole of atoms
symmetry	Imm2 (44)

no.,VASP energy (eV/atom)
1,-8.703
2,-5.556
3,-2.874